No. 1
Material: DyYCuPb
Method: DFT, PBE-GGA
State: relaxed

a b c (Å): 5.204 5.204 5.204
angles (deg): 60.00 60.00 60.00
Atoms (fractional coordinates):
Dy: 0.000 0.000 0.000
Y: 0.500 0.500 0.500
Cu: 0.750 0.750 0.750
Pb: 0.250 0.250 0.250

## Properties
Space group = F-43m (216)
E_form = -30 kJ per mole of atoms
Energy = -5.03 eV/atom

***

No. 2
Material: DyZnCuPb
Method: DFT, PBE-GGA
State: relaxed

a b c (Å): 4.912 4.912 4.912
angles (deg): 60.00 60.00 60.00
Atoms (fractional coordinates):
Dy: 0.000 0.000 0.000
Zn: 0.250 0.250 0.250
Cu: 0.750 0.750 0.750
Pb: 0.500 0.500 0.500

## Properties
Space group = F-43m (216)
E_form = -14 kJ per mole of atoms
Energy = -3.57 eV/atom

***

Repeat the second record exactly.
Material: DyZnCuPb
Method: DFT, PBE-GGA
State: relaxed

a b c (Å): 4.912 4.912 4.912
angles (deg): 60.00 60.00 60.00
Atoms (fractional coordinates):
Dy: 0.000 0.000 0.000
Zn: 0.250 0.250 0.250
Cu: 0.750 0.750 0.750
Pb: 0.500 0.500 0.500

## Properties
Space group = F-43m (216)
E_form = -14 kJ per mole of atoms
Energy = -3.57 eV/atom